[1]
## LiIn2Si (PBEsol)

Data for crystalline LiIn2Si at its relaxed geometry.

The structure in CIF format:
```
data_LiIn2Si
_chemical_formula_sum 'Li2 In4 Si2'
_symmetry_space_group_name_H-M 'P 1'
_symmetry_Int_Tables_number 1
_symmetry_space_group_name_Hall 'P 1'
_cell_length_a 5.2047
_cell_length_b 6.5352
_cell_length_c 6.5352
_cell_angle_alpha 80.88
_cell_angle_beta 66.53
_cell_angle_gamma 66.53
loop_
_atom_site_label
_atom_site_fract_x
_atom_site_fract_y
_atom_site_fract_z
Si1 0.0000 0.0000 0.0000
Si2 0.7500 0.5000 0.5000
Li1 0.5000 0.0000 0.0000
Li2 0.2500 0.5000 0.5000
In1 0.8750 0.0771 0.4229
In2 0.3750 0.9229 0.5771
In3 0.7021 0.4229 0.9229
In4 0.0479 0.5771 0.0771
```

Summary:
Size of the total moment: 0.000 μB/cell
Density: 4.7 g/cm3
E_form (uncorrected): 1.58 kcal/mol of atoms
Volume: 23.380 Å³/atom
DOS at the Fermi energy: 3.15 states/eV/cell

[2]
## LiIn2Si (PBEsol)

Data for crystalline LiIn2Si at its relaxed geometry.

The structure in CIF format:
```
data_LiIn2Si
_chemical_formula_sum 'Li1 In2 Si1'
_symmetry_space_group_name_H-M 'P 1'
_symmetry_Int_Tables_number 1
_symmetry_space_group_name_Hall 'P 1'
_cell_length_a 4.1118
_cell_length_b 4.1118
_cell_length_c 5.5107
_cell_angle_alpha 111.91
_cell_angle_beta 111.91
_cell_angle_gamma 90.00
loop_
_atom_site_label
_atom_site_fract_x
_atom_site_fract_y
_atom_site_fract_z
In1 0.0000 0.0000 0.0000
In2 0.7500 0.2500 0.5000
Li1 0.5000 0.5000 0.0000
Si1 0.2500 0.7500 0.5000
```

Summary:
Size of the total moment: 0.000 μB/cell
Density: 5.6 g/cm3
E_form (uncorrected): 0.28 kcal/mol of atoms
Volume: 19.787 Å³/atom
DOS at the Fermi energy: 1.41 states/eV/cell

> Which of these has the lowest volume?

number 2

> Which of these has the lowest volume?

number 2

Copy entry 1 word for word.
## LiIn2Si (PBEsol)

Data for crystalline LiIn2Si at its relaxed geometry.

The structure in CIF format:
```
data_LiIn2Si
_chemical_formula_sum 'Li2 In4 Si2'
_symmetry_space_group_name_H-M 'P 1'
_symmetry_Int_Tables_number 1
_symmetry_space_group_name_Hall 'P 1'
_cell_length_a 5.2047
_cell_length_b 6.5352
_cell_length_c 6.5352
_cell_angle_alpha 80.88
_cell_angle_beta 66.53
_cell_angle_gamma 66.53
loop_
_atom_site_label
_atom_site_fract_x
_atom_site_fract_y
_atom_site_fract_z
Si1 0.0000 0.0000 0.0000
Si2 0.7500 0.5000 0.5000
Li1 0.5000 0.0000 0.0000
Li2 0.2500 0.5000 0.5000
In1 0.8750 0.0771 0.4229
In2 0.3750 0.9229 0.5771
In3 0.7021 0.4229 0.9229
In4 0.0479 0.5771 0.0771
```

Summary:
Size of the total moment: 0.000 μB/cell
Density: 4.7 g/cm3
E_form (uncorrected): 1.58 kcal/mol of atoms
Volume: 23.380 Å³/atom
DOS at the Fermi energy: 3.15 states/eV/cell